Arrangement i

Density functional theory data (PBE-GGA) for a relaxed structure of CsSrTa2.

Size of the total moment in μB per cell: 0.0
Volume in Å³ per atom: 27.262

The structure in CIF format:
```
data_CsSrTa2
_chemical_formula_sum 'Cs1 Sr1 Ta2'
_cell_length_a 5.363
_cell_length_b 5.363
_cell_length_c 5.363
_cell_angle_alpha 60.00
_cell_angle_beta 60.00
_cell_angle_gamma 60.00
_symmetry_space_group_name_H-M 'P 1'
_symmetry_Int_Tables_number 1
loop_
_symmetry_equiv_pos_as_xyz
'x,y,z'
loop_
_atom_site_label
_atom_site_type_symbol
_atom_site_fract_x
_atom_site_fract_y
_atom_site_fract_z
Cs1 Cs 0.000 0.000 0.000
Sr1 Sr 0.500 0.500 0.500
Ta1 Ta 0.250 0.250 0.250
Ta2 Ta 0.750 0.750 0.750
```

Arrangement ii

Density functional theory data (PBE-GGA) for a relaxed structure of CsSrTa2.

Size of the total moment in μB per cell: 0.0
Volume in Å³ per atom: 30.234

The structure in CIF format:
```
data_CsSrTa2
_chemical_formula_sum 'Cs2 Sr2 Ta4'
_cell_length_a 7.088
_cell_length_b 7.088
_cell_length_c 7.088
_cell_angle_alpha 99.54
_cell_angle_beta 99.54
_cell_angle_gamma 131.96
_symmetry_space_group_name_H-M 'P 1'
_symmetry_Int_Tables_number 1
loop_
_symmetry_equiv_pos_as_xyz
'x,y,z'
loop_
_atom_site_label
_atom_site_type_symbol
_atom_site_fract_x
_atom_site_fract_y
_atom_site_fract_z
Cs1 Cs 0.000 0.000 0.000
Cs2 Cs 0.750 0.250 0.500
Sr1 Sr 0.250 0.750 0.500
Sr2 Sr 0.500 0.500 0.000
Ta1 Ta 0.113 0.125 0.488
Ta2 Ta 0.375 0.887 0.012
Ta3 Ta 0.637 0.625 0.512
Ta4 Ta 0.875 0.363 0.988
```

Bottom line: arrangement ii, by a margin of 165 meV/atom.

Arrangement i

Density functional theory data (PBE-GGA) for a relaxed structure of CsSrTa.

Size of the total moment in μB per cell: 0.6
Volume in Å³ per atom: 42.910

The structure in CIF format:
```
data_CsSrTa
_chemical_formula_sum 'Cs2 Sr2 Ta2'
_cell_length_a 3.740
_cell_length_b 3.741
_cell_length_c 18.562
_cell_angle_alpha 84.96
_cell_angle_beta 84.37
_cell_angle_gamma 90.00
_symmetry_space_group_name_H-M 'P 1'
_symmetry_Int_Tables_number 1
loop_
_symmetry_equiv_pos_as_xyz
'x,y,z'
loop_
_atom_site_label
_atom_site_type_symbol
_atom_site_fract_x
_atom_site_fract_y
_atom_site_fract_z
Cs1 Cs 0.000 0.000 0.000
Cs2 Cs 0.118 0.172 0.760
Sr1 Sr 0.388 0.403 0.227
Sr2 Sr 0.738 0.768 0.533
Ta1 Ta 0.300 0.324 0.407
Ta2 Ta 0.826 0.847 0.353
```

Arrangement ii

Density functional theory data (PBE-GGA) for a relaxed structure of CsSrTa.

Size of the total moment in μB per cell: 8.7
Volume in Å³ per atom: 42.205

The structure in CIF format:
```
data_CsSrTa
_chemical_formula_sum 'Cs2 Sr2 Ta2'
_cell_length_a 6.314
_cell_length_b 6.314
_cell_length_c 7.334
_cell_angle_alpha 90.00
_cell_angle_beta 90.00
_cell_angle_gamma 120.00
_symmetry_space_group_name_H-M 'P 1'
_symmetry_Int_Tables_number 1
loop_
_symmetry_equiv_pos_as_xyz
'x,y,z'
loop_
_atom_site_label
_atom_site_type_symbol
_atom_site_fract_x
_atom_site_fract_y
_atom_site_fract_z
Cs1 Cs 0.000 0.000 0.000
Cs2 Cs 0.000 0.000 0.500
Sr1 Sr 0.333 0.667 0.250
Sr2 Sr 0.667 0.333 0.750
Ta1 Ta 0.333 0.667 0.750
Ta2 Ta 0.667 0.333 0.250
```

Bottom line: arrangement i, by a margin of 1125 meV/atom.

Arrangement i

Density functional theory data (PBE-GGA) for a relaxed structure of CsSrTa.

Size of the total moment in μB per cell: 0.0
Volume in Å³ per atom: 52.009

The structure in CIF format:
```
data_CsSrTa
_chemical_formula_sum 'Cs2 Sr2 Ta2'
_cell_length_a 4.263
_cell_length_b 5.092
_cell_length_c 14.593
_cell_angle_alpha 99.91
_cell_angle_beta 90.20
_cell_angle_gamma 90.00
_symmetry_space_group_name_H-M 'P 1'
_symmetry_Int_Tables_number 1
loop_
_symmetry_equiv_pos_as_xyz
'x,y,z'
loop_
_atom_site_label
_atom_site_type_symbol
_atom_site_fract_x
_atom_site_fract_y
_atom_site_fract_z
Cs1 Cs 0.245 0.329 0.153
Cs2 Cs 0.755 0.671 0.847
Sr1 Sr 0.251 0.056 0.614
Sr2 Sr 0.749 0.944 0.386
Ta1 Ta 0.249 0.475 0.449
Ta2 Ta 0.751 0.525 0.551
```

Arrangement ii

Density functional theory data (PBE-GGA) for a relaxed structure of CsSrTa.

Size of the total moment in μB per cell: 0.0
Volume in Å³ per atom: 50.364

The structure in CIF format:
```
data_CsSrTa
_chemical_formula_sum 'Cs2 Sr2 Ta2'
_cell_length_a 6.177
_cell_length_b 6.177
_cell_length_c 9.144
_cell_angle_alpha 90.00
_cell_angle_beta 90.00
_cell_angle_gamma 120.00
_symmetry_space_group_name_H-M 'P 1'
_symmetry_Int_Tables_number 1
loop_
_symmetry_equiv_pos_as_xyz
'x,y,z'
loop_
_atom_site_label
_atom_site_type_symbol
_atom_site_fract_x
_atom_site_fract_y
_atom_site_fract_z
Cs1 Cs 0.000 0.000 0.000
Cs2 Cs 0.000 0.000 0.500
Sr1 Sr 0.667 0.333 0.206
Sr2 Sr 0.667 0.333 0.794
Ta1 Ta 0.333 0.667 0.124
Ta2 Ta 0.333 0.667 0.876
```

Arrangement iii

Density functional theory data (PBE-GGA) for a relaxed structure of CsSrTa.

Size of the total moment in μB per cell: 0.0
Volume in Å³ per atom: 52.988

The structure in CIF format:
```
data_CsSrTa
_chemical_formula_sum 'Cs2 Sr2 Ta2'
_cell_length_a 4.663
_cell_length_b 4.666
_cell_length_c 17.077
_cell_angle_alpha 97.73
_cell_angle_beta 90.06
_cell_angle_gamma 119.97
_symmetry_space_group_name_H-M 'P 1'
_symmetry_Int_Tables_number 1
loop_
_symmetry_equiv_pos_as_xyz
'x,y,z'
loop_
_atom_site_label
_atom_site_type_symbol
_atom_site_fract_x
_atom_site_fract_y
_atom_site_fract_z
Cs1 Cs 0.000 0.000 0.000
Cs2 Cs 0.243 0.482 0.727
Sr1 Sr 0.407 0.813 0.238
Sr2 Sr 0.491 0.978 0.490
Ta1 Ta 0.115 0.229 0.364
Ta2 Ta 0.782 0.562 0.364
```

Bottom line: arrangement iii, by a margin of 136 meV/atom.

Arrangement i

Density functional theory data (PBE-GGA) for a relaxed structure of CsSrTe3.

Size of the total moment in μB per cell: 0.0
Volume in Å³ per atom: 48.570

The structure in CIF format:
```
data_CsSrTe3
_chemical_formula_sum 'Cs1 Sr1 Te3'
_cell_length_a 6.239
_cell_length_b 6.239
_cell_length_c 6.239
_cell_angle_alpha 90.00
_cell_angle_beta 90.00
_cell_angle_gamma 90.00
_symmetry_space_group_name_H-M 'P 1'
_symmetry_Int_Tables_number 1
loop_
_symmetry_equiv_pos_as_xyz
'x,y,z'
loop_
_atom_site_label
_atom_site_type_symbol
_atom_site_fract_x
_atom_site_fract_y
_atom_site_fract_z
Cs1 Cs 0.000 0.000 0.000
Sr1 Sr 0.500 0.500 0.500
Te1 Te 0.000 0.000 0.500
Te2 Te 0.000 0.500 0.000
Te3 Te 0.500 0.000 0.000
```

Arrangement ii

Density functional theory data (PBE-GGA) for a relaxed structure of CsSrTe3.

Size of the total moment in μB per cell: 0.0
Volume in Å³ per atom: 40.685

The structure in CIF format:
```
data_CsSrTe3
_chemical_formula_sum 'Cs4 Sr4 Te12'
_cell_length_a 19.502
_cell_length_b 6.545
_cell_length_c 6.375
_cell_angle_alpha 90.00
_cell_angle_beta 90.00
_cell_angle_gamma 90.00
_symmetry_space_group_name_H-M 'P 1'
_symmetry_Int_Tables_number 1
loop_
_symmetry_equiv_pos_as_xyz
'x,y,z'
loop_
_atom_site_label
_atom_site_type_symbol
_atom_site_fract_x
_atom_site_fract_y
_atom_site_fract_z
Cs1 Cs 0.250 0.000 0.033
Cs2 Cs 0.250 0.500 0.467
Cs3 Cs 0.750 0.000 0.967
Cs4 Cs 0.750 0.500 0.533
Sr1 Sr 0.001 0.250 0.250
Sr2 Sr 0.499 0.750 0.250
Sr3 Sr 0.501 0.250 0.750
Sr4 Sr 0.999 0.750 0.750
Te1 Te 0.082 0.750 0.250
Te2 Te 0.120 0.070 0.577
Te3 Te 0.120 0.430 0.923
Te4 Te 0.380 0.570 0.923
Te5 Te 0.380 0.930 0.577
Te6 Te 0.418 0.250 0.250
Te7 Te 0.582 0.750 0.750
Te8 Te 0.620 0.070 0.423
Te9 Te 0.620 0.430 0.077
Te10 Te 0.880 0.570 0.077
Te11 Te 0.880 0.930 0.423
Te12 Te 0.918 0.250 0.750
```

Bottom line: arrangement ii, by a margin of 1158 meV/atom.

Arrangement i

Density functional theory data (PBE-GGA) for a relaxed structure of CsSr2Y.

Size of the total moment in μB per cell: 0.0
Volume in Å³ per atom: 52.864

The structure in CIF format:
```
data_CsSr2Y
_chemical_formula_sum 'Cs2 Sr4 Y2'
_cell_length_a 14.451
_cell_length_b 14.451
_cell_length_c 14.451
_cell_angle_alpha 158.01
_cell_angle_beta 158.01
_cell_angle_gamma 31.30
_symmetry_space_group_name_H-M 'P 1'
_symmetry_Int_Tables_number 1
loop_
_symmetry_equiv_pos_as_xyz
'x,y,z'
loop_
_atom_site_label
_atom_site_type_symbol
_atom_site_fract_x
_atom_site_fract_y
_atom_site_fract_z
Cs1 Cs 0.000 0.000 0.000
Cs2 Cs 0.750 0.250 0.500
Sr1 Sr 0.136 0.625 0.011
Sr2 Sr 0.375 0.386 0.511
Sr3 Sr 0.614 0.125 0.989
Sr4 Sr 0.875 0.864 0.489
Y1 Y 0.250 0.750 0.500
Y2 Y 0.500 0.500 0.000
```

Arrangement ii

Density functional theory data (PBE-GGA) for a relaxed structure of CsSr2Y.

Size of the total moment in μB per cell: 0.0
Volume in Å³ per atom: 51.871

The structure in CIF format:
```
data_CsSr2Y
_chemical_formula_sum 'Cs1 Sr2 Y1'
_cell_length_a 6.645
_cell_length_b 6.645
_cell_length_c 6.645
_cell_angle_alpha 60.00
_cell_angle_beta 60.00
_cell_angle_gamma 60.00
_symmetry_space_group_name_H-M 'P 1'
_symmetry_Int_Tables_number 1
loop_
_symmetry_equiv_pos_as_xyz
'x,y,z'
loop_
_atom_site_label
_atom_site_type_symbol
_atom_site_fract_x
_atom_site_fract_y
_atom_site_fract_z
Cs1 Cs 0.000 0.000 0.000
Sr1 Sr 0.250 0.250 0.250
Sr2 Sr 0.750 0.750 0.750
Y1 Y 0.500 0.500 0.500
```

Bottom line: arrangement ii, by a margin of 241 meV/atom.